DFT (GGA-PBE) results for a relaxed CsHf2Br9 crystal.

The space group is P2/c (No. 13) and the conventional cell measures 10.5601, 7.2417 and 13.5287 Å, with angles of 90.00, 114.25 and 90.00 degrees. The inequivalent atoms are Cs at (0.0000, 0.0846, 0.2500), Hf at (0.3244, 0.2329, 0.6365), Br at (0.1230, 0.3768, 0.6632), Br at (0.2082, 0.0734, 0.0626), Br at (0.2870, 0.3816, 0.4591), Br at (0.4245, 0.0893, 0.8443) and Br at (0.5000, 0.4890, 0.2500).

The value obtained for the raw formation energy is -18.1 eV/f.u. The calculated volume comes out at 943 Å³ per cell. The value obtained for the spin magnetization is 0.0 μB per formula unit. Its crystal system is monoclinic.